Entry 1:
Tb6GeSe3S2 after structural relaxation, computed with GGA-PBE.

Cell lengths 6.983, 6.983, 7.124 Å; angles 99.39, 99.39, 119.97 degrees
Sites, in units of the cell vectors:
1 Tb 0.088 0.423 0.768
2 Tb 0.242 0.242 0.231
3 Tb 0.423 0.088 0.768
4 Tb 0.577 0.912 0.232
5 Tb 0.758 0.758 0.769
6 Tb 0.912 0.577 0.232
7 Ge 0.500 0.500 0.000
8 Se 0.000 0.000 0.500
9 Se 0.334 0.666 0.500
10 Se 0.666 0.334 0.500
11 S 0.167 0.833 0.000
12 S 0.833 0.167 0.000

Summary:
Total moment: 0.0 μB/f.u.
Energy relative to the elements, uncorrected: -1.76 eV/atom
Total DFT energy (no corrections): -6.02 eV/atom
Density of states at the Fermi level: 4.88 states/eV/f.u.

Entry 2:
Tb6Ge3Se2S after structural relaxation, computed with GGA-PBE.

Cell lengths 9.231, 9.231, 8.265 Å; angles 103.38, 103.38, 25.81 degrees
Sites, in units of the cell vectors:
1 Tb 0.003 0.003 0.250
2 Tb 0.334 0.334 0.424
3 Tb 0.336 0.336 0.910
4 Tb 0.664 0.664 0.090
5 Tb 0.666 0.666 0.576
6 Tb 0.997 0.997 0.750
7 Ge 0.168 0.168 0.335
8 Ge 0.500 0.500 0.000
9 Ge 0.832 0.832 0.665
10 Se 0.166 0.166 0.833
11 Se 0.834 0.834 0.167
12 S 0.500 0.500 0.500

Summary:
Total moment: 0.0 μB/f.u.
Energy relative to the elements, uncorrected: -1.42 eV/atom
Total DFT energy (no corrections): -5.81 eV/atom
Density of states at the Fermi level: 3.10 states/eV/f.u.

- The lowest energy relative to the elements, uncorrected belongs to which entry?
  Tb6GeSe3S2

- Which value of energy relative to the elements, uncorrected does entry 2 give?
  -1.42 eV/atom

- Which formula does entry 1 have?
  Tb6GeSe3S2

- total DFT energy (no corrections) of number 2 (Tb6Ge3Se2S)?
  -5.81 eV/atom